First-principles (GGA-PBE) data for an optimized crystal structure of Nb2FeHgH, as listed in Alexandria via LeMat-Bulk.

Cell and atoms, written as POSCAR:
```
Nb2FeHgH
1.0
4.1539 0.0000 0.0000
0.0000 4.1539 0.0000
0.0000 0.0000 4.0797
Nb Fe Hg H
2 1 1 1
direct
0.0000 0.5000 0.0000
0.5000 0.0000 0.0000
0.0000 0.0000 0.5000
0.5000 0.5000 0.5000
0.0000 0.0000 0.0000
```

First-principles (GGA-PBE) data for an optimized crystal structure of FeHgHRh2, as listed in Alexandria via LeMat-Bulk.

Cell and atoms, written as POSCAR:
```
FeHgHRh2
1.0
4.0551 0.0000 0.0000
0.0000 4.0551 0.0000
0.0000 0.0000 3.8846
Fe Hg H Rh
1 1 1 2
direct
0.0000 0.0000 0.0000
0.5000 0.5000 0.0000
0.0000 0.0000 0.5000
0.0000 0.5000 0.5000
0.5000 0.0000 0.5000
```

First-principles (GGA-PBE) data for an optimized crystal structure of Sc2FeHgH, as listed in Alexandria via LeMat-Bulk.

Cell and atoms, written as POSCAR:
```
Sc2FeHgH
1.0
4.6250 0.0000 0.0000
0.0000 4.6250 0.0000
0.0000 0.0000 3.5740
Sc Fe Hg H
2 1 1 1
direct
0.0000 0.5000 0.0000
0.5000 0.0000 0.0000
0.0000 0.0000 0.5000
0.5000 0.5000 0.5000
0.0000 0.0000 0.0000
```

In the order shown, the computed total DFT energy (no corrections) values come out to -31.9 -26.3 -26.2 eV per formula unit.